! PBE+U BaFeO2, optimized geometry; values from VASP
&SYSTEM
  ibrav = 0, nat = 16, ntyp = 3
/
ATOMIC_SPECIES
Ba 137.33 Ba.upf
Fe 55.84 Fe.upf
O 16.00 O.upf
CELL_PARAMETERS angstrom
6.199 0.000 0.000
0.000 6.199 0.000
0.000 0.000 6.199
ATOMIC_POSITIONS angstrom
Ba 0.000 0.000 0.000
Ba 0.000 3.100 3.100
Ba 3.100 0.000 3.100
Ba 3.100 3.100 0.000
Fe 0.000 0.000 3.100
Fe 0.000 3.100 0.000
Fe 3.100 0.000 0.000
Fe 3.100 3.100 3.100
O 1.550 1.550 1.550
O 1.550 1.550 4.649
O 1.550 4.649 1.550
O 1.550 4.649 4.649
O 4.649 1.550 1.550
O 4.649 1.550 4.649
O 4.649 4.649 1.550
O 4.649 4.649 4.649
! **Total moment**: 1.000 μB/atom
! **Total DFT energy (no corrections)**: -21.2 eV per formula unit
! **SG**: Fm-3m